The following is a DFT calculation (GGA-PBE) of AcZn8GaAu2 after structural relaxation.

Output
energy of formation from the pure elements	-1.70	eV per formula unit
space group	C2/m, No. 12
ρ	8.87	g/cm³
spin magnetization	0.0	Bohr magnetons per cell

Lattice parameters (Å, degrees): 5.0282 5.0282 9.9250 93.35 93.35 65.18
Atoms (fractional coordinates):
Ac  0.0000  0.0000  0.0000
Zn  0.1413  0.6291  0.6886
Zn  0.3417  0.3417  0.9023
Zn  0.3481  0.3481  0.4524
Zn  0.3709  0.8587  0.3114
Zn  0.6291  0.1413  0.6886
Zn  0.6519  0.6519  0.5476
Zn  0.6583  0.6583  0.0977
Zn  0.8587  0.3709  0.3114
Ga  0.0000  0.0000  0.5000
Au  0.3436  0.3436  0.1758
Au  0.6564  0.6564  0.8242

The following is a DFT calculation (GGA-PBE) of AcZnGaAu3 after structural relaxation.

Output
energy of formation from the pure elements	-2.62	eV per formula unit
space group	Cmcm, No. 63
ρ	11.44	g/cm³
spin magnetization	0.0	Bohr magnetons per cell

Lattice parameters (Å, degrees): 7.1289 7.1289 6.4802 90.00 90.00 122.83
Atoms (fractional coordinates):
Ac  0.2106  0.7894  0.7500
Ac  0.7894  0.2106  0.2500
Zn  0.1221  0.8779  0.2500
Zn  0.8779  0.1221  0.7500
Ga  0.4679  0.5321  0.7500
Ga  0.5321  0.4679  0.2500
Au  0.2099  0.2099  0.0000
Au  0.2099  0.2099  0.5000
Au  0.3236  0.6764  0.2500
Au  0.6764  0.3236  0.7500
Au  0.7901  0.7901  0.0000
Au  0.7901  0.7901  0.5000

The following is a DFT calculation (GGA-PBE) of AcGd2Au after structural relaxation.

Output
energy of formation from the pure elements	-0.34	eV per formula unit
space group	Fm-3m, No. 225
ρ	10.60	g/cm³
spin magnetization	16.5	Bohr magnetons per cell

Lattice parameters (Å, degrees): 5.4695 5.4695 5.4695 60.00 60.00 60.00
Atoms (fractional coordinates):
Ac  0.0000  0.0000  0.0000
Gd  0.2500  0.2500  0.2500
Gd  0.7500  0.7500  0.7500
Au  0.5000  0.5000  0.5000

Which density of states at the Fermi level belongs to each record? In order, 0.2848; 0.4198; 1.0507 states/eV per atom.